The following is a DFT calculation (SCAN) of a crystal of ReHg2O5 relaxed with PBEsol.

Summary:
Magnetization: 0.00 μB/cell
E_form (uncorrected): -1090 meV per atom
N(E_F): 0.0 states/eV/f.u.

a = 7.9191 Å, b = 9.0479 Å, c = 9.1073 Å
α = 114.49°, β = 90.11°, γ = 102.01°
Space group P-1 (No. 2)
One atom of each set of equivalent atoms:
Re 0.0969 0.0343 0.2411
Re 0.2771 0.5049 0.6514
Hg 0.0000 0.5000 0.0000
Hg 0.3070 0.6875 0.3229
Hg 0.3416 0.3051 0.9637
Hg 0.3759 0.9252 0.6086
Hg 0.5000 0.0000 0.0000
O 0.0039 0.1793 0.8410
O 0.0602 0.8516 0.6863
O 0.0622 0.4593 0.6920
O 0.2012 0.0832 0.0916
O 0.2491 0.0776 0.4003
O 0.2536 0.5197 0.0692
O 0.2874 0.4464 0.4445
O 0.3646 0.7200 0.7545
O 0.3968 0.3998 0.7214
O 0.4674 0.1170 0.8510


The following is a DFT calculation (SCAN) of a crystal of RbCoSb2Cl relaxed with PBEsol.

Summary:
Magnetization: 1.62 μB/cell
E_form (uncorrected): 556 meV per atom
N(E_F): 3.8 states/eV/f.u.

a = 5.9062 Å, b = 5.9062 Å, c = 4.0604 Å
α = 90.00°, β = 90.00°, γ = 90.00°
Space group P4/mmm (No. 123)
One atom of each set of equivalent atoms:
Rb 0.0000 0.0000 0.0000
Co 0.5000 0.5000 0.0000
Sb 0.0000 0.5000 0.5000
Cl 0.5000 0.5000 0.5000


The following is a DFT calculation (SCAN) of a crystal of NbBPd2 relaxed with PBEsol.

Summary:
Magnetization: 0.00 μB/cell
Calculated formation energy: -0.013 eV per formula unit
N(E_F): 2.4 states/eV/f.u.

a = 6.8500 Å, b = 6.8500 Å, c = 4.7869 Å
α = 90.00°, β = 90.00°, γ = 90.00°
Space group I-42d (No. 122)
One atom of each set of equivalent atoms:
Nb 0.0000 0.0000 0.0000
B 0.0000 0.0000 0.5000
Pd 0.1542 0.7500 0.6250


The following is a DFT calculation (SCAN) of a crystal of LaO relaxed with PBEsol.

Summary:
Magnetization: 0.00 μB/cell
E_form (uncorrected): -3099 meV per atom
N(E_F): 0.9 states/eV/f.u.

a = 5.0911 Å, b = 5.0911 Å, c = 5.0911 Å
α = 90.00°, β = 90.00°, γ = 90.00°
Space group Fm-3m (No. 225)
One atom of each set of equivalent atoms:
La 0.0000 0.0000 0.0000
O 0.0000 0.0000 0.5000


The following is a DFT calculation (SCAN) of a crystal of FeTcAu2 relaxed with PBEsol.

Summary:
Magnetization: 3.06 μB/cell
Calculated formation energy: 0.809 eV per formula unit
N(E_F): 3.3 states/eV/f.u.

a = 2.6951 Å, b = 2.6951 Å, c = 8.1505 Å
α = 90.00°, β = 90.00°, γ = 90.00°
Space group P4/mmm (No. 123)
One atom of each set of equivalent atoms:
Fe 0.0000 0.0000 0.0000
Tc 0.0000 0.0000 0.5000
Au 0.5000 0.5000 0.2412


The following is a DFT calculation (SCAN) of a crystal of MnFe2Cu relaxed with PBEsol.

Summary:
Magnetization: 2.81 μB/cell
Calculated formation energy: 0.672 eV per formula unit
N(E_F): 3.3 states/eV/f.u.

a = 2.4573 Å, b = 3.5300 Å, c = 4.9226 Å
α = 90.00°, β = 90.00°, γ = 90.00°
Space group Pmm2 (No. 25)
One atom of each set of equivalent atoms:
Mn 0.0000 0.0000 0.0000
Fe 0.0000 0.0000 0.5190
Fe 0.5000 0.5000 0.7667
Cu 0.5000 0.5000 0.2660


The following is a DFT calculation (SCAN) of a crystal of MgZrAg3 relaxed with PBEsol.

Summary:
Magnetization: 1.46 μB/cell
Calculated formation energy: 3.157 eV per formula unit
N(E_F): 3.6 states/eV/f.u.

a = 4.6973 Å, b = 4.6973 Å, c = 4.6973 Å
α = 90.00°, β = 90.00°, γ = 90.00°
Space group Pm-3m (No. 221)
One atom of each set of equivalent atoms:
Mg 0.0000 0.0000 0.0000
Zr 0.5000 0.5000 0.5000
Ag 0.0000 0.0000 0.5000


The following is a DFT calculation (SCAN) of a crystal of KAgPt4 relaxed with PBEsol.

Summary:
Magnetization: 0.00 μB/cell
Calculated formation energy: -0.573 eV per formula unit
N(E_F): 1.4 states/eV/f.u.

a = 7.5189 Å, b = 7.5189 Å, c = 7.5189 Å
α = 90.00°, β = 90.00°, γ = 90.00°
Space group F-43m (No. 216)
One atom of each set of equivalent atoms:
K 0.0000 0.0000 0.0000
Ag 0.2500 0.2500 0.7500
Pt 0.1248 0.1248 0.3752


The following is a DFT calculation (SCAN) of a crystal of RbBe2RhN relaxed with PBEsol.

Summary:
Magnetization: 1.01 μB/cell
E_form (uncorrected): 2989 meV per atom
N(E_F): 3.5 states/eV/f.u.

a = 4.5801 Å, b = 4.5801 Å, c = 3.9532 Å
α = 90.00°, β = 90.00°, γ = 90.00°
Space group P4/mmm (No. 123)
One atom of each set of equivalent atoms:
Rb 0.0000 0.0000 0.0000
Be 0.0000 0.5000 0.0000
Rh 0.5000 0.5000 0.5000
N 0.0000 0.0000 0.5000


The following is a DFT calculation (SCAN) of a crystal of Ta2OsPb relaxed with PBEsol.

Summary:
Magnetization: 0.00 μB/cell
Calculated formation energy: 1.314 eV per formula unit
N(E_F): 3.1 states/eV/f.u.

a = 4.0800 Å, b = 4.0800 Å, c = 4.2190 Å
α = 90.00°, β = 90.00°, γ = 90.00°
Space group P4/mmm (No. 123)
One atom of each set of equivalent atoms:
Ta 0.0000 0.5000 0.0000
Os 0.0000 0.0000 0.5000
Pb 0.5000 0.5000 0.5000


The following is a DFT calculation (SCAN) of a crystal of CdHgRu2 relaxed with PBEsol.

Summary:
Magnetization: 4.34 μB/cell
Energy above the most stable polymorph in this dataset: 248 meV per atom
Calculated formation energy: 2.283 eV per formula unit
N(E_F): 2.5 states/eV/f.u.

a = 5.5664 Å, b = 9.4343 Å, c = 2.7914 Å
α = 90.00°, β = 116.85°, γ = 90.00°
Space group C2/m (No. 12)
One atom of each set of equivalent atoms:
Cd 0.0000 0.0000 0.0000
Hg 0.0000 0.5000 0.0000
Ru 0.2500 0.2500 0.5000


The following is a DFT calculation (SCAN) of a crystal of Ti3OF relaxed with PBEsol.

Summary:
Magnetization: 2.75 μB/cell
E_form (uncorrected): -235 meV per atom
N(E_F): 5.3 states/eV/f.u.

a = 4.0283 Å, b = 4.0283 Å, c = 4.0283 Å
α = 90.00°, β = 90.00°, γ = 90.00°
Space group Pm-3m (No. 221)
One atom of each set of equivalent atoms:
Ti 0.0000 0.0000 0.5000
O 0.5000 0.5000 0.5000
F 0.0000 0.0000 0.0000


The following is a DFT calculation (SCAN) of a crystal of Ta2InBr relaxed with PBEsol.

Summary:
Magnetization: 0.01 μB/cell
E_form (uncorrected): 742 meV per atom
N(E_F): 4.7 states/eV/f.u.

a = 5.8138 Å, b = 9.4036 Å, c = 3.0233 Å
α = 90.00°, β = 111.85°, γ = 90.00°
Space group C2/m (No. 12)
One atom of each set of equivalent atoms:
Ta 0.2500 0.2500 0.0000
In 0.0000 0.0000 0.5000
Br 0.0000 0.5000 0.5000


The following is a DFT calculation (SCAN) of a crystal of NaLi3Y relaxed with PBEsol.

Summary:
Magnetization: 2.22 μB/cell
Calculated formation energy: 4.195 eV per formula unit
N(E_F): 5.1 states/eV/f.u.

a = 5.7786 Å, b = 5.7786 Å, c = 5.7786 Å
α = 90.00°, β = 90.00°, γ = 90.00°
Space group Pm-3m (No. 221)
One atom of each set of equivalent atoms:
Na 0.0000 0.0000 0.0000
Li 0.0000 0.5000 0.5000
Y 0.5000 0.5000 0.5000